No. 1
## SmTmCdSn (PBE)

Data for a relaxed structure of SmTmCdSn.

- Total magnetic moment: 0.00 μB/atom
- Formation energy: -0.485 eV/atom
- E: -4.012 eV/atom

Cell and atoms, written as POSCAR:
```
SmTmCdSn
1.0
-3.6870 2.7252 -2.6704
-0.0608 -0.1149 -5.3042
-3.8723 -2.5761 -2.5535
Sn Sm Cd Tm
1 1 1 1
Direct
0.2500 0.2500 0.2500 Sn
0.5000 0.5000 0.5000 Sm
0.7500 0.7500 0.7500 Cd
0.0000 0.0000 0.0000 Tm
```

No. 2
## SmYCdSn (PBE)

Data for a relaxed structure of SmYCdSn.

- Total magnetic moment: 0.00 μB/atom
- Formation energy: -0.529 eV/atom
- E: -4.554 eV/atom

Cell and atoms, written as POSCAR:
```
SmYCdSn
1.0
-1.6391 -0.3602 -5.0677
1.0166 -4.4128 -2.8269
-3.9772 -3.3192 -1.2894
Sn Cd Y Sm
1 1 1 1
Direct
0.0000 0.0000 0.0000 Sn
0.5000 0.5000 0.5000 Cd
0.2500 0.2500 0.2500 Y
0.7500 0.7500 0.7500 Sm
```